Density functional theory data (PBE) for an optimized crystal structure of La3SmMg2.

Geometry as POSCAR:
```
La3SmMg2
1.0
3.877 0.000 0.000
0.000 3.877 0.000
0.000 0.000 13.118
Mg Sm La
2 1 3
Direct
0.500 0.500 0.155 Mg
0.500 0.500 0.845 Mg
0.500 0.500 0.500 Sm
0.000 0.000 0.690 La
0.000 0.000 0.000 La
0.000 0.000 0.310 La
```

Output
crystal system: tetragonal
ΔH_f (0 K): -0.057 eV/atom
volume: 197 Å³ per cell
total energy: -23.0 eV/f.u.
space group: No. 123
DOS at the Fermi energy: 1.376 states/eV per atom
density: 5.2 g cm⁻³

Density functional theory data (PBE) for an optimized crystal structure of TiMnV6.

Geometry as POSCAR:
```
TiMnV6
1.0
-4.307 0.661 3.080
3.821 -2.684 2.583
1.817 4.683 -1.800
Ti V Mn
1 6 1
Direct
0.000 0.000 0.000 Ti
0.253 0.253 0.739 V
0.747 0.747 0.261 V
0.253 0.739 0.253 V
0.261 0.747 0.747 V
0.739 0.253 0.253 V
0.747 0.261 0.747 V
0.500 0.500 0.500 Mn
```

Output
crystal system: trigonal
ΔH_f (0 K): 0.103 eV/atom
volume: 109 Å³ per cell
total energy: -71.0 eV/f.u.
space group: No. 166
DOS at the Fermi energy: 1.206 states/eV per atom
density: 6.2 g cm⁻³